# 1
## Li2CaAcTl2 (PBE)

Data for a relaxed Li2CaAcTl2 crystal.

Lattice parameters (Å, degrees): 5.060 5.060 7.653 90.00 90.00 120.00
Sites, in units of the cell vectors:
Li1 0.333 0.667 0.213
Li2 0.667 0.333 0.787
Ca1 0.000 0.000 0.000
Ac1 0.000 0.000 0.500
Tl1 0.333 0.667 0.758
Tl2 0.667 0.333 0.242

Results
The calculation puts the total energy at -2.724 eV/atom. The value obtained for the energy of formation is -1.676 eV/f.u.



# 2
## LiCa2AcTl2 (PBE)

Data for a relaxed LiCa2AcTl2 crystal.

Lattice parameters (Å, degrees): 4.914 4.914 17.748 90.00 90.00 90.00
Sites, in units of the cell vectors:
Li1 0.000 0.000 0.000
Li2 0.500 0.500 0.500
Ca1 0.000 0.500 0.250
Ca2 0.000 0.500 0.750
Ca3 0.500 0.000 0.250
Ca4 0.500 0.000 0.750
Ac1 0.000 0.000 0.500
Ac2 0.500 0.500 0.000
Tl1 0.000 0.000 0.136
Tl2 0.000 0.000 0.864
Tl3 0.500 0.500 0.364
Tl4 0.500 0.500 0.636

Results
The calculation puts the total energy at -2.407 eV/atom. The value obtained for the energy of formation is 0.316 eV/f.u.



# 3
## Li2CaAcTl4 (PBE)

Data for a relaxed Li2CaAcTl4 crystal.

Lattice parameters (Å, degrees): 10.725 10.725 10.725 26.88 26.88 26.88
Sites, in units of the cell vectors:
Li1 0.240 0.240 0.240
Li2 0.760 0.760 0.760
Ca1 0.500 0.500 0.500
Ac1 0.000 0.000 0.000
Tl1 0.117 0.117 0.117
Tl2 0.394 0.394 0.394
Tl3 0.606 0.606 0.606
Tl4 0.883 0.883 0.883

Results
The calculation puts the total energy at -2.740 eV/atom. The value obtained for the energy of formation is -2.518 eV/f.u.



no.,calculated volume (Å³/atom),total magnetization (μB per atom)
1,28.3,0.000
2,35.7,0.000
3,27.8,0.000